! FeHg2Ir PBE-GGA relaxed; values from VASP
&SYSTEM
  ibrav = 0, nat = 16, ntyp = 3
/
ATOMIC_SPECIES
Fe 55.84 Fe.upf
Hg 200.59 Hg.upf
Ir 192.22 Ir.upf
ATOMIC_POSITIONS crystal
Fe 0.0000 0.0000 0.0000
Fe 0.0000 0.5000 0.5000
Fe 0.5000 0.0000 0.5000
Fe 0.5000 0.5000 0.0000
Hg 0.2500 0.2500 0.2500
Hg 0.2500 0.2500 0.7500
Hg 0.2500 0.7500 0.2500
Hg 0.2500 0.7500 0.7500
Hg 0.7500 0.2500 0.2500
Hg 0.7500 0.2500 0.7500
Hg 0.7500 0.7500 0.2500
Hg 0.7500 0.7500 0.7500
Ir 0.0000 0.0000 0.5000
Ir 0.0000 0.5000 0.0000
Ir 0.5000 0.0000 0.0000
Ir 0.5000 0.5000 0.5000
CELL_PARAMETERS angstrom
6.5099 0.0000 0.0000
0.0000 6.5099 0.0000
0.0000 0.0000 6.5099
! magnetic moment = 12.8 Bohr magnetons per cell
! VASP energy = -3.9401 eV/atom
! E_form = 0.542 eV per atom
! space-group type = Fm-3m, No. 225
! calculated density = 15.631 Mg/m³



! SnOsN2 PBE-GGA relaxed; values from VASP
&SYSTEM
  ibrav = 0, nat = 16, ntyp = 3
/
ATOMIC_SPECIES
Sn 118.71 Sn.upf
Os 190.23 Os.upf
N 14.01 N.upf
ATOMIC_POSITIONS crystal
Sn 0.0000 0.0000 0.0000
Sn 0.0000 0.5000 0.2500
Sn 0.5000 0.0000 0.7500
Sn 0.5000 0.5000 0.5000
Os 0.0000 0.0000 0.5000
Os 0.0000 0.5000 0.7500
Os 0.5000 0.0000 0.2500
Os 0.5000 0.5000 0.0000
N 0.1489 0.2500 0.6250
N 0.2500 0.6489 0.8750
N 0.2500 0.8511 0.3750
N 0.3511 0.2500 0.1250
N 0.6489 0.7500 0.1250
N 0.7500 0.1489 0.3750
N 0.7500 0.3511 0.8750
N 0.8511 0.7500 0.6250
CELL_PARAMETERS angstrom
5.3138 0.0000 0.0000
0.0000 5.3138 0.0000
0.0000 0.0000 9.1119
! magnetic moment = 0.0 Bohr magnetons per cell
! VASP energy = -7.3329 eV/atom
! space-group type = I-42d, No. 122
! formation energy from raw total energies = 0.64 eV/atom
! calculated density = 8.699 Mg/m³



! Nd6Tm2Sc PBE-GGA relaxed; values from VASP
&SYSTEM
  ibrav = 0, nat = 18, ntyp = 3
/
ATOMIC_SPECIES
Nd 144.24 Nd.upf
Tm 168.93 Tm.upf
Sc 44.96 Sc.upf
ATOMIC_POSITIONS crystal
Nd 0.0922 0.8092 0.9879
Nd 0.1476 0.4296 0.1493
Nd 0.1908 0.9078 0.5121
Nd 0.2519 0.5240 0.6760
Nd 0.4296 0.1476 0.6493
Nd 0.4760 0.7481 0.8240
Nd 0.5240 0.2519 0.1760
Nd 0.5704 0.8524 0.3507
Nd 0.7481 0.4760 0.3240
Nd 0.8092 0.0922 0.4879
Nd 0.8524 0.5704 0.8507
Nd 0.9078 0.1908 0.0121
Tm 0.0672 0.2716 0.5766
Tm 0.2716 0.0672 0.0766
Tm 0.7284 0.9328 0.9234
Tm 0.9328 0.7284 0.4234
Sc 0.3936 0.6064 0.2500
Sc 0.6064 0.3936 0.7500
CELL_PARAMETERS angstrom
8.1079 -5.8929 0.0000
8.1079 5.8929 0.0000
-0.6824 0.0000 6.1688
! magnetic moment = 0.0 Bohr magnetons per cell
! VASP energy = -4.7840 eV/atom
! E_form = 0.092 eV per atom
! space-group type = C2/c, No. 15
! calculated density = 7.033 Mg/m³



! U2PaC3 PBE-GGA relaxed; values from VASP
&SYSTEM
  ibrav = 0, nat = 12, ntyp = 3
/
ATOMIC_SPECIES
U 238.03 U.upf
Pa 231.04 Pa.upf
C 12.01 C.upf
ATOMIC_POSITIONS crystal
U 0.2500 0.0000 0.1112
U 0.2500 0.5000 0.7862
U 0.7500 0.0000 0.8888
U 0.7500 0.5000 0.2138
Pa 0.2500 0.5000 0.4522
Pa 0.7500 0.5000 0.5478
C 0.0000 0.5000 0.0000
C 0.0012 0.0000 0.6712
C 0.4988 0.0000 0.6712
C 0.5000 0.5000 0.0000
C 0.5012 0.0000 0.3288
C 0.9988 0.0000 0.3288
CELL_PARAMETERS angstrom
6.1253 0.0000 0.0000
0.0000 3.2172 0.0000
0.0000 0.0000 8.9052
! magnetic moment = 0.1 Bohr magnetons per cell
! VASP energy = -10.0501 eV/atom
! E_form = -0.093 eV per atom
! space-group type = Pmma, No. 51
! calculated density = 14.063 Mg/m³



! BaCa2Al PBE-GGA relaxed; values from VASP
&SYSTEM
  ibrav = 0, nat = 16, ntyp = 3
/
ATOMIC_SPECIES
Ba 137.33 Ba.upf
Ca 40.08 Ca.upf
Al 26.98 Al.upf
ATOMIC_POSITIONS crystal
Ba 0.0000 0.0000 0.0000
Ba 0.0000 0.5000 0.2500
Ba 0.5000 0.0000 0.7500
Ba 0.5000 0.5000 0.5000
Ca 0.2192 0.2500 0.6250
Ca 0.2500 0.7192 0.8750
Ca 0.2500 0.7808 0.3750
Ca 0.2808 0.2500 0.1250
Ca 0.7192 0.7500 0.1250
Ca 0.7500 0.2192 0.3750
Ca 0.7500 0.2808 0.8750
Ca 0.7808 0.7500 0.6250
Al 0.0000 0.0000 0.5000
Al 0.0000 0.5000 0.7500
Al 0.5000 0.0000 0.2500
Al 0.5000 0.5000 0.0000
CELL_PARAMETERS angstrom
5.0745 0.0000 0.0000
0.0000 5.0745 0.0000
0.0000 0.0000 24.3536
! magnetic moment = 0.0 Bohr magnetons per cell
! VASP energy = -2.1696 eV/atom
! E_form = 0.247 eV per atom
! space-group type = I-42d, No. 122
! calculated density = 2.589 Mg/m³



! Rb3Sm2YO6 PBE-GGA relaxed; values from VASP
&SYSTEM
  ibrav = 0, nat = 12, ntyp = 4
/
ATOMIC_SPECIES
Rb 85.47 Rb.upf
Sm 150.36 Sm.upf
Y 88.91 Y.upf
O 16.00 O.upf
ATOMIC_POSITIONS crystal
Rb 0.0000 0.0000 0.0000
Rb 0.3339 0.6661 0.0000
Rb 0.6661 0.3339 0.0000
Sm 0.1667 0.8333 0.5000
Sm 0.8333 0.1667 0.5000
Y 0.5000 0.5000 0.5000
O 0.1131 0.4407 0.3221
O 0.2318 0.2318 0.6779
O 0.4407 0.1131 0.3221
O 0.5593 0.8869 0.6779
O 0.7682 0.7682 0.3221
O 0.8869 0.5593 0.6779
CELL_PARAMETERS angstrom
3.1022 -5.3736 0.0000
3.1022 5.3736 0.0000
-2.0684 0.0000 6.5860
! magnetic moment = 0.0 Bohr magnetons per cell
! VASP energy = -6.6744 eV/atom
! space-group type = C2/m, No. 12
! formation energy from raw total energies = -2.63 eV/atom
! calculated density = 5.611 Mg/m³



! Ac4PmEr PBE-GGA relaxed; values from VASP
&SYSTEM
  ibrav = 0, nat = 6, ntyp = 3
/
ATOMIC_SPECIES
Ac 227.00 Ac.upf
Pm 145.00 Pm.upf
Er 167.26 Er.upf
ATOMIC_POSITIONS crystal
Ac 0.0000 0.0000 0.1681
Ac 0.0000 0.0000 0.8319
Ac 0.0000 0.5000 0.3291
Ac 0.0000 0.5000 0.6709
Pm 0.5000 0.0000 0.5000
Er 0.5000 0.5000 0.0000
CELL_PARAMETERS angstrom
3.7199 0.0000 0.0000
0.0000 6.2416 0.0000
0.0000 0.0000 10.5567
! magnetic moment = 0.0 Bohr magnetons per cell
! VASP energy = -4.1349 eV/atom
! E_form = 0.156 eV per atom
! space-group type = Pmmm, No. 47
! calculated density = 8.267 Mg/m³



! Na2TlRuCl6 PBE-GGA relaxed; values from VASP
&SYSTEM
  ibrav = 0, nat = 10, ntyp = 4
/
ATOMIC_SPECIES
Na 22.99 Na.upf
Tl 204.38 Tl.upf
Ru 101.07 Ru.upf
Cl 35.45 Cl.upf
ATOMIC_POSITIONS crystal
Na 0.0000 0.0000 0.0000
Na 0.4782 0.4782 0.4782
Tl 0.1923 0.1923 0.1923
Ru 0.6724 0.6724 0.6724
Cl 0.0282 0.4593 0.7412
Cl 0.3118 0.8539 0.6246
Cl 0.4593 0.7412 0.0282
Cl 0.6246 0.3118 0.8539
Cl 0.7412 0.0282 0.4593
Cl 0.8539 0.6246 0.3118
CELL_PARAMETERS angstrom
3.4943 2.0174 6.3521
-3.4943 2.0174 6.3521
0.0000 -4.0349 6.3521
! magnetic moment = 1.0 Bohr magnetons per cell
! VASP energy = -3.6274 eV/atom
! space-group type = R3, No. 146
! formation energy from raw total energies = -1.09 eV/atom
! calculated density = 3.486 Mg/m³



The highest calculated density belongs to which entry?
FeHg2Ir



What did the fourth record say?
! U2PaC3 PBE-GGA relaxed; values from VASP
&SYSTEM
  ibrav = 0, nat = 12, ntyp = 3
/
ATOMIC_SPECIES
U 238.03 U.upf
Pa 231.04 Pa.upf
C 12.01 C.upf
ATOMIC_POSITIONS crystal
U 0.2500 0.0000 0.1112
U 0.2500 0.5000 0.7862
U 0.7500 0.0000 0.8888
U 0.7500 0.5000 0.2138
Pa 0.2500 0.5000 0.4522
Pa 0.7500 0.5000 0.5478
C 0.0000 0.5000 0.0000
C 0.0012 0.0000 0.6712
C 0.4988 0.0000 0.6712
C 0.5000 0.5000 0.0000
C 0.5012 0.0000 0.3288
C 0.9988 0.0000 0.3288
CELL_PARAMETERS angstrom
6.1253 0.0000 0.0000
0.0000 3.2172 0.0000
0.0000 0.0000 8.9052
! magnetic moment = 0.1 Bohr magnetons per cell
! VASP energy = -10.0501 eV/atom
! E_form = -0.093 eV per atom
! space-group type = Pmma, No. 51
! calculated density = 14.063 Mg/m³



Among the records above, which one has the lowest VASP energy?
U2PaC3